# 1
KNaLi after structural relaxation. Source: Alexandria, functional PBE-GGA.

Properties
The calculation puts the volume at 265 Å³/cell. The total moment comes out at 0.0 μB/f.u. The calculation puts the formation energy at 0.091 eV/atom. As for the density of states at the Fermi level: 3.33 states/eV/cell.

```
6
Lattice="4.623 0.000 0.000 2.044 5.081 0.000 0.698 2.175 11.298" Properties=species:S:1:pos:R:3 pbc="T T T"
K 1.331 1.181 1.682
K 6.035 6.075 9.615
Na 3.680 3.924 7.314
Na 3.686 3.332 3.984
Li 1.463 1.981 5.994
Li 5.903 5.275 5.304
```

# 2
RbNa2InSn after structural relaxation. Source: Alexandria, functional PBE-GGA.

Properties
The calculation puts the volume at 208 Å³/cell. The total moment comes out at 0.0 μB/f.u. The calculation puts the formation energy at 0.012 eV/atom. As for the density of states at the Fermi level: 2.16 states/eV/cell.

```
5
Lattice="5.980 0.000 0.000 0.000 5.980 0.000 0.000 0.000 5.823" Properties=species:S:1:pos:R:3 pbc="T T T"
Rb 0.000 0.000 0.000
Na 0.000 2.990 2.912
Na 2.990 0.000 2.912
In 2.990 2.990 2.912
Sn 2.990 2.990 0.000
```

# 3
PrTmGa after structural relaxation. Source: Alexandria, functional PBE-GGA.

Properties
The calculation puts the volume at 247 Å³/cell. The total moment comes out at 0.5 μB/f.u. The calculation puts the formation energy at -0.404 eV/atom. As for the density of states at the Fermi level: 9.72 states/eV/cell.

```
9
Lattice="7.988 0.000 0.000 -3.994 6.918 0.000 0.000 0.000 4.478" Properties=species:S:1:pos:R:3 pbc="T T T"
Pr -2.407 4.168 0.000
Pr 1.588 2.750 0.000
Pr 4.813 0.000 0.000
Tm -1.058 1.832 2.239
Tm 2.116 0.000 2.239
Tm 2.936 5.086 2.239
Ga 0.000 0.000 0.000
Ga 0.000 4.612 2.239
Ga 3.994 2.306 2.239
```